## V4AgO8 (GGA+U)

Data for a relaxed structure of V4AgO8.

Cell and atoms, written as POSCAR:
```
V4AgO8
1.0
5.209 -2.970 0.000
5.209 2.970 0.000
-4.912 0.000 5.755
V Ag O
4 1 8
Direct
0.236 0.236 0.955
0.247 0.753 0.000
0.753 0.247 0.000
0.764 0.764 0.045
0.500 0.500 0.500
0.001 0.001 0.824
0.020 0.495 0.176
0.493 0.493 0.161
0.495 0.020 0.176
0.505 0.980 0.824
0.507 0.507 0.839
0.980 0.505 0.824
0.999 0.999 0.176
```

Calculated values
* DOS(E_F): 1.58 states/eV/cell
* density: 4099 kg/m³
* E_tot: -94.30 eV for the cell shown